DFT (PBE) results for CuHgO after structural relaxation.

* energy above the lowest structure with this stoichiometry: 0.156 eV/atom
* density of states at the Fermi level: 2.03 states/eV per cell
* E_form (uncorrected): -0.109 eV per atom

Lattice parameters (Å, degrees): 3.1909 3.1909 4.7707 90.00 90.00 120.00
Last column: nearest neighbours and their distance in Å.
Space group P3m1 (No. 156)
Asymmetric unit:
Cu (0.0000, 0.0000, 0.0000) (multiplicity 1)  3 O 2.10
Hg (0.3333, 0.6667, 0.5804) (multiplicity 1)  3 O 2.55, 3 Cu 2.72
O (0.6667, 0.3333, 0.2096) (multiplicity 1)  3 Cu 2.10